The following is a PBE with a Hubbard U calculation of an optimized crystal structure of V3FeP6O24, from the Alexandria database.

VASP energy = -7.2797 eV/atom
Space group = R3, No. 146
Crystal system = trigonal
Magnetization = 4.9 μB/f.u.

Cell lengths 8.7538, 8.7538, 8.7538 Å; angles 57.79, 57.79, 57.79 degrees
Last column: nearest neighbours and their distance in Å.
Positions (direct):
V1 0.0000 0.0000 0.0000  6 O 1.86-1.88
V2 0.2173 0.2173 0.2173  6 O 1.88-1.91
V3 0.7200 0.7200 0.7200  6 O 1.85-1.93
Fe1 0.5008 0.5008 0.5008  6 O 1.99-2.01
P1 0.1049 0.8331 0.3914  4 O 1.51-1.56
P2 0.3253 0.6115 0.8897  4 O 1.51-1.57
P3 0.3914 0.1049 0.8331  4 O 1.51-1.56
P4 0.6115 0.8897 0.3253  4 O 1.51-1.57
P5 0.8331 0.3914 0.1049  4 O 1.51-1.56
P6 0.8897 0.3253 0.6115  4 O 1.51-1.57
O1 0.0206 0.3704 0.1054  1 P 1.55
O2 0.0411 0.8750 0.2351  1 P 1.54
O3 0.0589 0.3221 0.4143  1 P 1.57
O4 0.1054 0.0206 0.3704  1 P 1.55
O5 0.1303 0.7650 0.9617  1 P 1.56
O6 0.2351 0.0411 0.8750  1 P 1.54
O7 0.2948 0.6696 0.3847  1 P 1.51
O8 0.3221 0.4143 0.0589  1 P 1.57
O9 0.3374 0.6175 0.7085  1 P 1.51
O10 0.3704 0.1054 0.0206  1 P 1.55
O11 0.3847 0.2948 0.6696  1 P 1.51
O12 0.4143 0.0589 0.3221  1 P 1.57
O13 0.4932 0.6502 0.8620  1 P 1.55
O14 0.5865 0.9414 0.7809  1 P 1.56
O15 0.6175 0.7085 0.3374  1 P 1.51
O16 0.6502 0.8620 0.4932  1 P 1.55
O17 0.6696 0.3847 0.2948  1 P 1.51
O18 0.7085 0.3374 0.6175  1 P 1.51
O19 0.7650 0.9617 0.1303  1 P 1.56
O20 0.7809 0.5865 0.9414  1 P 1.56
O21 0.8620 0.4932 0.6502  1 P 1.55
O22 0.8750 0.2351 0.0411  1 P 1.54
O23 0.9414 0.7809 0.5865  1 P 1.56
O24 0.9617 0.1303 0.7650  1 P 1.56